# K3IBr2

A relaxed K3IBr2 crystal (GGA-PBE, Alexandria).

Cell lengths 8.4493, 8.4493, 8.4493 Å; angles 147.07, 131.83, 59.58 degrees
Closest atoms and distances in Å follow each position.
Positions (direct):
K  0.0000  0.0000  0.0000  4 Br 3.41, 2 I 3.45
K  0.3215  0.3215  0.0000  4 Br 3.31-3.45, 2 I 3.55
K  0.6785  0.6785  0.0000  4 Br 3.31-3.45, 2 I 3.55
I  0.5000  0.0000  0.5000  6 K 3.45-3.55
Br  0.1652  0.6652  0.5000  6 K 3.31-3.45
Br  0.8348  0.3348  0.5000  6 K 3.31-3.45

Computed properties:
calculated density: 2.8 Mg/m³
space group: Immm (71)
formation energy without anion corrections: -1654 meV/atom
size of the total moment: 0.00 μB/atom
uncorrected energy: -18.111 eV/cell